# LaPmSmEr2, relaxed, DFT PBE
# final energy	-4.36	eV/atom
# ΔE_f	0.34	eV/atom
# total magnetic moment	0.00	μB/f.u.
data_LaPmSmEr2
_space_group_name_H-M_alt 'C m c m'
_space_group_IT_number 63
_space_group_name_Hall '-C 2c 2'
_cell_length_a 8.486
_cell_length_b 11.608
_cell_length_c 7.231
_cell_angle_alpha 90.00
_cell_angle_beta 90.00
_cell_angle_gamma 90.00
loop_
_atom_site_label
_atom_site_type_symbol
_atom_site_fract_x
_atom_site_fract_y
_atom_site_fract_z
La1 La 0.000 0.234 0.250
Pm1 Pm 0.000 0.221 0.750
Sm1 Sm 0.000 0.499 0.750
Er1 Er 0.188 0.000 0.000



# La5PmSm2Er, relaxed, DFT PBE
# final energy	-4.54	eV/atom
# ΔE_f	0.28	eV/atom
# total magnetic moment	0.00	μB/f.u.
data_La5PmSm2Er
_space_group_name_H-M_alt 'I 4/m c m'
_space_group_IT_number 140
_space_group_name_Hall '-I 4 2c'
_cell_length_a 9.165
_cell_length_b 9.165
_cell_length_c 15.294
_cell_angle_alpha 90.00
_cell_angle_beta 90.00
_cell_angle_gamma 90.00
loop_
_atom_site_label
_atom_site_type_symbol
_atom_site_fract_x
_atom_site_fract_y
_atom_site_fract_z
La1 La 0.000 0.000 0.000
La2 La 0.209 0.291 0.140
Pm1 Pm 0.000 0.000 0.250
Sm1 Sm 0.113 0.387 0.500
Er1 Er 0.000 0.500 0.250



# LaPmSm5Er2, relaxed, DFT PBE
# final energy	-4.56	eV/atom
# ΔE_f	0.15	eV/atom
# total magnetic moment	0.00	μB/f.u.
data_LaPmSm5Er2
_space_group_name_H-M_alt 'C m c 21'
_space_group_IT_number 36
_space_group_name_Hall 'C 2c -2'
_cell_length_a 5.693
_cell_length_b 20.181
_cell_length_c 10.691
_cell_angle_alpha 90.00
_cell_angle_beta 90.00
_cell_angle_gamma 90.00
loop_
_atom_site_label
_atom_site_type_symbol
_atom_site_fract_x
_atom_site_fract_y
_atom_site_fract_z
La1 La 0.000 0.083 0.000
Pm1 Pm 0.000 0.299 0.563
Sm1 Sm 0.000 0.022 0.290
Sm2 Sm 0.000 0.111 0.578
Sm3 Sm 0.000 0.204 0.258
Sm4 Sm 0.000 0.219 0.864
Sm5 Sm 0.000 0.483 0.578
Er1 Er 0.000 0.384 0.874
Er2 Er 0.000 0.388 0.285



# LaPm6Sm3Er2, relaxed, DFT PBE
# final energy	-4.71	eV/atom
# ΔE_f	0.02	eV/atom
# total magnetic moment	0.00	μB/f.u.
data_LaPm6Sm3Er2
_space_group_name_H-M_alt 'C 1 2/m 1'
_space_group_IT_number 12
_space_group_name_Hall '-C 2y'
_cell_length_a 6.293
_cell_length_b 10.896
_cell_length_c 12.050
_cell_angle_alpha 90.00
_cell_angle_beta 100.05
_cell_angle_gamma 90.00
loop_
_atom_site_label
_atom_site_type_symbol
_atom_site_fract_x
_atom_site_fract_y
_atom_site_fract_z
La1 La 0.000 0.000 0.000
Pm1 Pm 0.249 0.333 0.751
Pm2 Pm 0.249 0.500 0.249
Sm1 Sm 0.000 0.167 0.500
Sm2 Sm 0.000 0.500 0.500
Er1 Er 0.000 0.333 0.000



# La2Pm2SmEr2, relaxed, DFT PBE
# final energy	-4.72	eV/atom
# ΔE_f	0.02	eV/atom
# total magnetic moment	0.00	μB/f.u.
data_La2Pm2SmEr2
_space_group_name_H-M_alt 'C 1 2/m 1'
_space_group_IT_number 12
_space_group_name_Hall '-C 2y'
_cell_length_a 11.475
_cell_length_b 5.136
_cell_length_c 8.162
_cell_angle_alpha 90.00
_cell_angle_beta 98.04
_cell_angle_gamma 90.00
loop_
_atom_site_label
_atom_site_type_symbol
_atom_site_fract_x
_atom_site_fract_y
_atom_site_fract_z
La1 La 0.142 0.000 0.426
Pm1 Pm 0.215 0.500 0.140
Sm1 Sm 0.000 0.000 0.000
Er1 Er 0.071 0.500 0.716



# LaPm4Sm2Er2, relaxed, DFT PBE
# final energy	-4.70	eV/atom
# ΔE_f	0.02	eV/atom
# total magnetic moment	0.00	μB/f.u.
data_LaPm4Sm2Er2
_space_group_name_H-M_alt 'C 1 2/m 1'
_space_group_IT_number 12
_space_group_name_Hall '-C 2y'
_cell_length_a 15.395
_cell_length_b 5.128
_cell_length_c 8.101
_cell_angle_alpha 90.00
_cell_angle_beta 108.46
_cell_angle_gamma 90.00
loop_
_atom_site_label
_atom_site_type_symbol
_atom_site_fract_x
_atom_site_fract_y
_atom_site_fract_z
La1 La 0.000 0.000 0.000
Pm1 Pm 0.056 0.500 0.333
Pm2 Pm 0.222 0.000 0.331
Sm1 Sm 0.112 0.000 0.666
Er1 Er 0.169 0.500 0.999